No. 1
First-principles (PBE) data for a geometry-optimized Rb3Pu2HgTe6 structure, as listed in the Alexandria database.

```
Rb3Pu2HgTe6
1.0
8.1106 -0.1524 0.0343
-4.1853 6.9489 0.0343
-1.2749 -2.2075 8.3925
Rb Te Hg Pu
3 6 1 2
direct
0.5000 0.5000 0.5000 Rb
0.8429 0.1571 0.5000 Rb
0.1571 0.8429 0.5000 Rb
0.7430 0.7430 0.1754 Te
0.2570 0.2570 0.8246 Te
0.4256 0.0673 0.2078 Te
0.9327 0.5744 0.7922 Te
0.0673 0.4256 0.2078 Te
0.5744 0.9327 0.7922 Te
0.0000 0.0000 0.0000 Hg
0.3292 0.6708 0.0000 Pu
0.6708 0.3292 0.0000 Pu
```

## Properties
Its space group is No. 12. Its formation energy from raw total energies is -842 meV per atom. The final energy is -5.07 eV per atom.

=====

No. 2
First-principles (PBE) data for a geometry-optimized Rb2PuHg2Te4 structure, as listed in the Alexandria database.

```
Rb2PuHg2Te4
1.0
-4.2873 2.0001 0.7046
0.2353 -2.4251 8.3156
5.6481 6.7291 -0.9695
Hg Pu Te Rb
2 1 4 2
direct
0.6642 0.9820 0.3284 Hg
0.3358 0.0180 0.6716 Hg
0.0000 0.0000 0.0000 Pu
0.5006 0.7514 0.0012 Te
0.4994 0.2486 0.9988 Te
0.2009 0.1871 0.4019 Te
0.7991 0.8129 0.5981 Te
0.8697 0.4233 0.7395 Rb
0.1303 0.5767 0.2605 Rb
```

## Properties
Its space group is No. 12. Its formation energy from raw total energies is -689 meV per atom. The final energy is -3.96 eV per atom.

=====

No. 3
First-principles (PBE) data for a geometry-optimized RbPuHgTe2 structure, as listed in the Alexandria database.

```
RbPuHgTe2
1.0
6.6569 0.0000 0.0000
0.0000 9.0007 -0.0155
0.0000 -2.3809 6.1113
Rb Te Hg Pu
2 4 2 2
direct
0.7876 0.5000 0.2500 Rb
0.2124 0.5000 0.7500 Rb
0.7073 0.2715 0.6359 Te
0.2927 0.2715 0.1359 Te
0.7073 0.7285 0.8641 Te
0.2927 0.7285 0.3641 Te
0.0000 0.0000 0.0000 Hg
0.0000 0.0000 0.5000 Hg
0.5000 0.0000 0.2500 Pu
0.5000 0.0000 0.7500 Pu
```

## Properties
Its space group is No. 67. Its formation energy from raw total energies is -593 meV per atom. The final energy is -4.97 eV per atom.